# 1
Entry from Alexandria via LeMat-Bulk: a relaxed structure of Be8Fe3Mo (PBE).

a = 4.2363 Å, b = 4.2363 Å, c = 6.9305 Å
α = 90.00°, β = 90.00°, γ = 120.00°
Last column: nearest neighbours and their distance in Å.
Element x y z (fractional)
Be 0.0000 0.0000 0.0000  6 Be 2.07-2.11
Be 0.0000 0.0000 0.4934  6 Be 2.16-2.19
Be 0.1696 0.3392 0.7541  6 Be 2.08-2.19
Be 0.1696 0.8304 0.7541  6 Be 2.08-2.19
Be 0.3401 0.1700 0.2392  6 Be 2.07-2.16
Be 0.6608 0.8304 0.7541  6 Be 2.08-2.19
Be 0.8300 0.1700 0.2392  6 Be 2.07-2.16
Be 0.8300 0.6599 0.2392  6 Be 2.07-2.16
Fe 0.3333 0.6667 0.0581  12 Be 2.43-2.48, 4 Fe 2.60-2.64
Fe 0.3333 0.6667 0.4386  12 Be 2.48-2.53, 3 Mo 2.58, 1 Fe 2.64
Fe 0.6667 0.3333 0.9330  12 Be 2.44-2.49, 3 Fe 2.60, 1 Mo 2.61
Mo 0.6667 0.3333 0.5559  12 Be 2.48-2.52, 4 Fe 2.58-2.61

Summary:
E in eV/atom: -5.752
Symmetry: P3m1
E_form in eV per atom: -0.250

=====

# 2
Entry from Alexandria via LeMat-Bulk: a relaxed structure of MnCoTcHOs (PBE).

a = 8.3987 Å, b = 2.7129 Å, c = 6.0466 Å
α = 90.00°, β = 128.46°, γ = 90.00°
Last column: nearest neighbours and their distance in Å.
Element x y z (fractional)
Mn 0.0000 0.0000 0.0000  2 H 2.44, 3 Co 2.49-2.50, 3 Tc 2.51-2.67, 3 Os 2.59-2.63, 2 Mn 2.71
Mn 0.5000 0.5000 0.0000  2 H 2.44, 3 Co 2.49-2.50, 3 Tc 2.51-2.67, 3 Os 2.59-2.63, 2 Mn 2.71
Co 0.1374 0.5000 0.8061  3 Mn 2.49-2.50, 3 Os 2.55-2.62, 3 Tc 2.58-2.60, 2 Co 2.71, 1 H 2.74
Co 0.6374 0.0000 0.8061  3 Mn 2.49-2.50, 3 Os 2.55-2.62, 3 Tc 2.58-2.60, 2 Co 2.71, 1 H 2.74
Tc 0.2515 0.0000 0.5637  2 H 2.00
Tc 0.7515 0.5000 0.5637  2 H 2.00
H 0.2916 0.5000 0.3596  2 Os 1.91, 2 Tc 2.00
H 0.7916 0.0000 0.3596  2 Os 1.91, 2 Tc 2.00
Os 0.3916 0.0000 0.2526  2 H 1.91
Os 0.8916 0.5000 0.2526  2 H 1.91

Summary:
Energy above the lowest structure with this stoichiometry in eV/atom: 0.165
E in eV/atom: -8.076
Symmetry: Cm

=====

# 3
Entry from Alexandria via LeMat-Bulk: a relaxed structure of Sr2ZrHg2 (PBE).

a = 7.7404 Å, b = 7.7404 Å, c = 5.2153 Å
α = 90.00°, β = 90.00°, γ = 90.00°
Last column: nearest neighbours and their distance in Å.
Element x y z (fractional)
Sr 0.1725 0.3275 0.0000  6 Hg 3.31-3.57
Sr 0.3275 0.8275 0.0000  6 Hg 3.31-3.57
Sr 0.6725 0.1725 0.0000  6 Hg 3.31-3.57
Sr 0.8275 0.6725 0.0000  6 Hg 3.31-3.57
Zr 0.0000 0.0000 0.5000  4 Hg 2.98
Zr 0.5000 0.5000 0.5000  4 Hg 2.98
Hg 0.1412 0.6412 0.5000  2 Zr 2.98, 1 Hg 3.09, 2 Sr 3.31
Hg 0.3588 0.1412 0.5000  2 Zr 2.98, 1 Hg 3.09, 2 Sr 3.31
Hg 0.6412 0.8588 0.5000  2 Zr 2.98, 1 Hg 3.09, 2 Sr 3.31
Hg 0.8588 0.3588 0.5000  2 Zr 2.98, 1 Hg 3.09, 2 Sr 3.31

Summary:
E in eV/atom: -2.609
Symmetry: P4/mbm
E_form in eV per atom: -0.106

=====

# 4
Entry from Alexandria via LeMat-Bulk: a relaxed structure of PmSi2Rh (PBE).

a = 8.1331 Å, b = 8.1331 Å, c = 8.7572 Å
α = 90.00°, β = 90.00°, γ = 149.51°
Last column: nearest neighbours and their distance in Å.
Element x y z (fractional)
Pm 0.0000 0.0000 0.0000  4 Rh 3.16, 10 Si 3.20-3.34
Pm 0.0000 0.0000 0.5000  4 Rh 3.16, 10 Si 3.20-3.34
Pm 0.2032 0.7968 0.7500  9 Si 2.96-3.31, 6 Rh 3.19-3.20
Pm 0.7968 0.2032 0.2500  9 Si 2.96-3.31, 6 Rh 3.19-3.20
Si 0.1957 0.8043 0.1012  3 Rh 2.43-2.61, 1 Si 2.61
Si 0.1957 0.8043 0.3988  3 Rh 2.43-2.61, 1 Si 2.61
Si 0.4141 0.5859 0.7500  2 Rh 2.39, 1 Si 2.43
Si 0.4313 0.5687 0.2500  1 Si 2.43, 2 Rh 2.52
Si 0.5687 0.4313 0.7500  1 Si 2.43, 2 Rh 2.52
Si 0.5859 0.4141 0.2500  2 Rh 2.39, 1 Si 2.43
Si 0.8043 0.1957 0.6012  3 Rh 2.43-2.61, 1 Si 2.61
Si 0.8043 0.1957 0.8988  3 Rh 2.43-2.61, 1 Si 2.61
Rh 0.3522 0.6478 0.5010  5 Si 2.39-2.61
Rh 0.3522 0.6478 0.9990  5 Si 2.39-2.61
Rh 0.6478 0.3522 0.0010  5 Si 2.39-2.61
Rh 0.6478 0.3522 0.4990  5 Si 2.39-2.61

Summary:
Energy above the lowest structure with this stoichiometry in eV/atom: 0.024
E in eV/atom: -6.633
Symmetry: Cmcm

=====

# 5
Entry from Alexandria via LeMat-Bulk: a relaxed structure of Pr2Zn2Co15 (PBE).

a = 6.3645 Å, b = 6.3645 Å, c = 6.3645 Å
α = 83.50°, β = 83.50°, γ = 83.50°
Last column: nearest neighbours and their distance in Å.
Element x y z (fractional)
Pr 0.1517 0.1517 0.1517  18 Co 2.98-3.30, 1 Zn 3.01
Pr 0.8483 0.8483 0.8483  18 Co 2.98-3.30, 1 Zn 3.01
Zn 0.3983 0.3983 0.3983  1 Zn 2.48, 12 Co 2.57-2.72
Zn 0.6017 0.6017 0.6017  1 Zn 2.48, 12 Co 2.57-2.72
Co 0.0000 0.5000 0.5000  8 Co 2.39-2.45, 2 Zn 2.57
Co 0.1535 0.1535 0.6505  8 Co 2.45-2.60, 1 Zn 2.62
Co 0.1535 0.6505 0.1535  8 Co 2.45-2.60, 1 Zn 2.62
Co 0.2142 0.5000 0.7858  8 Co 2.39-2.60
Co 0.2142 0.7858 0.5000  8 Co 2.39-2.60
Co 0.3495 0.8465 0.8465  8 Co 2.45-2.60, 1 Zn 2.62
Co 0.5000 0.0000 0.5000  8 Co 2.39-2.45, 2 Zn 2.57
Co 0.5000 0.2142 0.7858  8 Co 2.39-2.60
Co 0.5000 0.5000 0.0000  8 Co 2.39-2.45, 2 Zn 2.57
Co 0.5000 0.7858 0.2142  8 Co 2.39-2.60
Co 0.6505 0.1535 0.1535  8 Co 2.45-2.60, 1 Zn 2.62
Co 0.7858 0.2142 0.5000  8 Co 2.39-2.60
Co 0.7858 0.5000 0.2142  8 Co 2.39-2.60
Co 0.8465 0.3495 0.8465  8 Co 2.45-2.60, 1 Zn 2.62
Co 0.8465 0.8465 0.3495  8 Co 2.45-2.60, 1 Zn 2.62

Summary:
E in eV/atom: -6.283
Symmetry: R-3m
E_form in eV per atom: -0.036

=====

# 6
Entry from Alexandria via LeMat-Bulk: a relaxed structure of CaLa2Tm2 (PBE).

a = 5.5812 Å, b = 17.8708 Å, c = 3.5914 Å
α = 90.00°, β = 90.00°, γ = 90.00°
Last column: nearest neighbours and their distance in Å.
Element x y z (fractional)
Ca 0.0000 0.0000 0.0000  2 Ca 3.59, 2 Tm 3.59, 8 La 3.99
Ca 0.5000 0.5000 0.0000  2 Ca 3.59, 2 Tm 3.59, 8 La 3.99
La 0.0000 0.3761 0.5000  2 La 3.59, 6 Tm 3.59-3.61, 4 Ca 3.99
La 0.0000 0.6239 0.5000  2 La 3.59, 6 Tm 3.59-3.61, 4 Ca 3.99
La 0.5000 0.1239 0.5000  2 La 3.59, 6 Tm 3.59-3.61, 4 Ca 3.99
La 0.5000 0.8761 0.5000  2 La 3.59, 6 Tm 3.59-3.61, 4 Ca 3.99
Tm 0.0000 0.2010 0.0000  4 Tm 3.29-3.59, 1 Ca 3.59, 6 La 3.59-3.61
Tm 0.0000 0.7990 0.0000  4 Tm 3.29-3.59, 1 Ca 3.59, 6 La 3.59-3.61
Tm 0.5000 0.2990 0.0000  4 Tm 3.29-3.59, 1 Ca 3.59, 6 La 3.59-3.61
Tm 0.5000 0.7010 0.0000  4 Tm 3.29-3.59, 1 Ca 3.59, 6 La 3.59-3.61

Summary:
E in eV/atom: -4.125
Symmetry: Cmmm
E_form in eV per atom: 0.035

=====

# 7
Entry from Alexandria via LeMat-Bulk: a relaxed structure of Be2TcAu (PBE).

a = 5.9716 Å, b = 5.9716 Å, c = 5.9716 Å
α = 90.00°, β = 90.00°, γ = 90.00°
Last column: nearest neighbours and their distance in Å.
Element x y z (fractional)
Be 0.0000 0.0000 0.0000  4 Be 2.59, 4 Tc 2.59
Be 0.0000 0.5000 0.5000  4 Be 2.59, 4 Tc 2.59
Be 0.2500 0.2500 0.2500  4 Be 2.59, 4 Au 2.59
Be 0.2500 0.7500 0.7500  4 Au 2.59, 4 Be 2.59
Be 0.5000 0.0000 0.5000  4 Be 2.59, 4 Tc 2.59
Be 0.5000 0.5000 0.0000  4 Be 2.59, 4 Tc 2.59
Be 0.7500 0.2500 0.7500  4 Au 2.59, 4 Be 2.59
Be 0.7500 0.7500 0.2500  4 Be 2.59, 4 Au 2.59
Tc 0.2500 0.2500 0.7500  4 Be 2.59, 4 Au 2.59
Tc 0.2500 0.7500 0.2500  4 Be 2.59, 4 Au 2.59
Tc 0.7500 0.2500 0.2500  4 Be 2.59, 4 Au 2.59
Tc 0.7500 0.7500 0.7500  4 Be 2.59, 4 Au 2.59
Au 0.0000 0.0000 0.5000  4 Tc 2.59, 4 Be 2.59
Au 0.0000 0.5000 0.0000  4 Tc 2.59, 4 Be 2.59
Au 0.5000 0.0000 0.0000  4 Tc 2.59, 4 Be 2.59
Au 0.5000 0.5000 0.5000  4 Tc 2.59, 4 Be 2.59

Summary:
Energy above the lowest structure with this stoichiometry in eV/atom: 0.548
E in eV/atom: -4.836
Symmetry: F-43m
E_form in eV per atom: 0.438

=====

# 8
Entry from Alexandria via LeMat-Bulk: a relaxed structure of Pm3PrSc4 (PBE).

a = 10.8601 Å, b = 7.4019 Å, c = 5.8894 Å
α = 90.00°, β = 90.00°, γ = 90.00°
Last column: nearest neighbours and their distance in Å.
Element x y z (fractional)
Pm 0.0000 0.1439 0.0000  5 Sc 3.39-3.59, 4 Pm 3.50-3.54, 2 Pr 3.62-3.64
Pm 0.2495 0.1445 0.3750  5 Sc 3.38-3.58, 4 Pm 3.50-3.64, 2 Pr 3.50-3.53
Pm 0.2505 0.8555 0.8750  5 Sc 3.38-3.58, 4 Pm 3.50-3.64, 2 Pr 3.50-3.53
Pm 0.5000 0.8561 0.5000  5 Sc 3.39-3.59, 4 Pm 3.50-3.54, 2 Pr 3.62-3.64
Pm 0.7495 0.8555 0.8750  5 Sc 3.38-3.58, 4 Pm 3.50-3.64, 2 Pr 3.50-3.53
Pm 0.7505 0.1445 0.3750  5 Sc 3.38-3.58, 4 Pm 3.50-3.64, 2 Pr 3.50-3.53
Pr 0.0000 0.8568 0.5022  5 Sc 3.39-3.58, 6 Pm 3.50-3.64
Pr 0.5000 0.1432 0.0022  5 Sc 3.39-3.58, 6 Pm 3.50-3.64
Sc 0.0000 0.3992 0.5173  6 Sc 3.24-3.37, 1 Pr 3.39, 4 Pm 3.41-3.59
Sc 0.0000 0.6013 0.0179  6 Sc 3.23-3.38, 3 Pm 3.39-3.41, 2 Pr 3.42-3.58
Sc 0.2493 0.3988 0.8583  6 Sc 3.23-3.38, 4 Pm 3.38-3.58, 1 Pr 3.42
Sc 0.2507 0.6012 0.3583  6 Sc 3.23-3.38, 4 Pm 3.38-3.58, 1 Pr 3.42
Sc 0.5000 0.3987 0.5179  6 Sc 3.23-3.38, 3 Pm 3.39-3.41, 2 Pr 3.42-3.58
Sc 0.5000 0.6008 0.0173  6 Sc 3.24-3.37, 1 Pr 3.39, 4 Pm 3.41-3.59
Sc 0.7493 0.6012 0.3583  6 Sc 3.23-3.38, 4 Pm 3.38-3.58, 1 Pr 3.42
Sc 0.7507 0.3988 0.8583  6 Sc 3.23-3.38, 4 Pm 3.38-3.58, 1 Pr 3.42

Summary:
E in eV/atom: -5.486
Symmetry: Pmn2_1
E_form in eV per atom: 0.059

=====

# 9
Entry from Alexandria via LeMat-Bulk: a relaxed structure of CdCoAu2 (PBE).

a = 2.9334 Å, b = 2.9334 Å, c = 27.5492 Å
α = 90.00°, β = 90.00°, γ = 120.00°
Last column: nearest neighbours and their distance in Å.
Element x y z (fractional)
Cd 0.0000 0.0000 0.0000  3 Co 2.77, 6 Cd 2.93, 3 Au 3.00
Cd 0.3333 0.6667 0.6667  3 Co 2.77, 6 Cd 2.93, 3 Au 3.00
Cd 0.6667 0.3333 0.3333  3 Co 2.77, 6 Cd 2.93, 3 Au 3.00
Co 0.0000 0.0000 0.2537  3 Au 2.67, 3 Cd 2.77, 6 Co 2.93
Co 0.3333 0.6667 0.9204  3 Au 2.67, 3 Cd 2.77, 6 Co 2.93
Co 0.6667 0.3333 0.5870  3 Au 2.67, 3 Cd 2.77, 6 Co 2.93
Au 0.0000 0.0000 0.5123  3 Co 2.67, 9 Au 2.93-2.98
Au 0.0000 0.0000 0.7565  9 Au 2.93-2.98, 3 Cd 3.00
Au 0.3333 0.6667 0.1789  3 Co 2.67, 9 Au 2.93-2.98
Au 0.3333 0.6667 0.4232  9 Au 2.93-2.98, 3 Cd 3.00
Au 0.6667 0.3333 0.0898  9 Au 2.93-2.98, 3 Cd 3.00
Au 0.6667 0.3333 0.8456  3 Co 2.67, 9 Au 2.93-2.98

Summary:
E in eV/atom: -3.456
Symmetry: R3m
E_form in eV per atom: 0.188

=====

# 10
Entry from Alexandria via LeMat-Bulk: a relaxed structure of BeCu3 (PBE).

a = 5.6065 Å, b = 5.6065 Å, c = 5.6065 Å
α = 90.00°, β = 90.00°, γ = 90.00°
Last column: nearest neighbours and their distance in Å.
Element x y z (fractional)
Be 0.0000 0.0000 0.0000  8 Cu 2.43
Be 0.0000 0.5000 0.5000  8 Cu 2.43
Be 0.5000 0.0000 0.5000  8 Cu 2.43
Be 0.5000 0.5000 0.0000  8 Cu 2.43
Cu 0.0000 0.0000 0.5000  8 Cu 2.43
Cu 0.0000 0.5000 0.0000  8 Cu 2.43
Cu 0.2500 0.2500 0.2500  4 Be 2.43, 4 Cu 2.43
Cu 0.2500 0.2500 0.7500  4 Be 2.43, 4 Cu 2.43
Cu 0.2500 0.7500 0.2500  4 Be 2.43, 4 Cu 2.43
Cu 0.2500 0.7500 0.7500  4 Be 2.43, 4 Cu 2.43
Cu 0.5000 0.0000 0.0000  8 Cu 2.43
Cu 0.5000 0.5000 0.5000  8 Cu 2.43
Cu 0.7500 0.2500 0.2500  4 Be 2.43, 4 Cu 2.43
Cu 0.7500 0.2500 0.7500  4 Be 2.43, 4 Cu 2.43
Cu 0.7500 0.7500 0.2500  4 Be 2.43, 4 Cu 2.43
Cu 0.7500 0.7500 0.7500  4 Be 2.43, 4 Cu 2.43

Summary:
E in eV/atom: -3.995
Symmetry: Fm-3m
E_form in eV per atom: 0.009

=====

# 11
Entry from Alexandria via LeMat-Bulk: a relaxed structure of Hg3Bi2S2Cl8 (PBE).

a = 7.6239 Å, b = 7.6239 Å, c = 9.5385 Å
α = 113.40°, β = 113.40°, γ = 59.66°
Last column: nearest neighbours and their distance in Å.
Element x y z (fractional)
Hg 0.0000 0.0000 0.0000  2 S 2.42
Hg 0.0000 0.5000 0.0000  2 S 2.44
Hg 0.5000 0.0000 0.0000  2 S 2.44
Bi 0.3705 0.3705 0.5698  5 Cl 2.63-2.76
Bi 0.6295 0.6295 0.4302  5 Cl 2.63-2.76
S 0.1243 0.1243 0.8761  3 Hg 2.42-2.44
S 0.8757 0.8757 0.1239  3 Hg 2.42-2.44
Cl 0.0383 0.5722 0.7071  1 Bi 2.76
Cl 0.2649 0.7351 0.5000  2 Bi 2.76
Cl 0.4278 0.9617 0.2929  1 Bi 2.76
Cl 0.4518 0.4518 0.1500  1 Bi 2.63
Cl 0.5482 0.5482 0.8500  1 Bi 2.63
Cl 0.5722 0.0383 0.7071  1 Bi 2.76
Cl 0.7351 0.2649 0.5000  2 Bi 2.76
Cl 0.9617 0.4278 0.2929  1 Bi 2.76

Summary:
E in eV/atom: -2.822
Symmetry: C2/m

=====

# 12
Entry from Alexandria via LeMat-Bulk: a relaxed structure of NaCd2GeO4 (PBE).

a = 5.1933 Å, b = 5.1933 Å, c = 9.3706 Å
α = 90.00°, β = 90.00°, γ = 90.00°
Last column: nearest neighbours and their distance in Å.
Element x y z (fractional)
Na 0.0000 0.0000 0.0000  4 O 2.40
Na 0.5000 0.5000 0.5000  4 O 2.40
Cd 0.0000 0.5000 0.2500  4 O 2.29
Cd 0.0000 0.5000 0.7500  4 O 2.29
Cd 0.5000 0.0000 0.2500  4 O 2.29
Cd 0.5000 0.0000 0.7500  4 O 2.29
Ge 0.0000 0.0000 0.5000  4 O 1.81
Ge 0.5000 0.5000 0.0000  4 O 1.81
O 0.2042 0.2042 0.3912  1 Ge 1.81
O 0.2042 0.7958 0.6088  1 Ge 1.81
O 0.2958 0.2958 0.8912  1 Ge 1.81
O 0.2958 0.7042 0.1088  1 Ge 1.81
O 0.7042 0.2958 0.1088  1 Ge 1.81
O 0.7042 0.7042 0.8912  1 Ge 1.81
O 0.7958 0.2042 0.6088  1 Ge 1.81
O 0.7958 0.7958 0.3912  1 Ge 1.81

Summary:
E in eV/atom: -4.792
Symmetry: I-42m